1.
! CoTeCl2 PBE-GGA optimized geometry; values from VASP
! E: -2.879 eV/atom
! Energy relative to the elements, uncorrected: 58 kJ per mole of atoms
! Total magnetic moment: 2.43 μB per formula unit
! Density of states at the Fermi level: 5.8 states/eV per cell
! Space-group type: Cmmm
&SYSTEM
  ibrav = 0, nat = 4, ntyp = 3
/
ATOMIC_SPECIES
Te 127.60 Te.upf
Co 58.93 Co.upf
Cl 35.45 Cl.upf
ATOMIC_POSITIONS crystal
Te 0.000 0.500 0.500
Co 0.500 0.000 0.500
Cl 0.000 0.000 0.000
Cl 0.500 0.500 0.000
CELL_PARAMETERS angstrom
5.279 0.003 0.000
-1.733 4.987 0.000
0.000 0.000 3.220


2.
! CoTeCl2 PBE-GGA optimized geometry; values from VASP
! E: -3.755 eV/atom
! Energy relative to the elements, uncorrected: -26 kJ per mole of atoms
! Total magnetic moment: 0.48 μB per formula unit
! Density of states at the Fermi level: 2.8 states/eV per cell
! Space-group type: R3m
&SYSTEM
  ibrav = 0, nat = 4, ntyp = 3
/
ATOMIC_SPECIES
Te 127.60 Te.upf
Co 58.93 Co.upf
Cl 35.45 Cl.upf
ATOMIC_POSITIONS crystal
Te 0.773 0.773 0.773
Co 0.494 0.494 0.494
Cl 0.021 0.021 0.021
Cl 0.213 0.213 0.213
CELL_PARAMETERS angstrom
8.407 0.073 0.043
7.595 3.605 0.043
7.595 1.745 3.154


3.
! CoTeCl2 PBE-GGA optimized geometry; values from VASP
! E: -3.489 eV/atom
! Energy relative to the elements, uncorrected: 0 kJ per mole of atoms
! Total magnetic moment: 1.76 μB per formula unit
! Density of states at the Fermi level: 6.2 states/eV per cell
! Space-group type: Cmm2
&SYSTEM
  ibrav = 0, nat = 4, ntyp = 3
/
ATOMIC_SPECIES
Te 127.60 Te.upf
Co 58.93 Co.upf
Cl 35.45 Cl.upf
ATOMIC_POSITIONS crystal
Te 0.500 0.500 0.703
Co 0.000 0.000 0.503
Cl 0.000 0.000 0.955
Cl 0.500 0.500 0.339
CELL_PARAMETERS angstrom
-3.458 1.004 1.242
0.816 -3.288 -1.740
1.713 -3.668 7.734


4.
! CoTe2Cl PBE-GGA optimized geometry; values from VASP
! Distance to the lowest polymorph of the same formula: 0.106 eV per atom
! E: -3.970 eV/atom
! Energy relative to the elements, uncorrected: -16 kJ per mole of atoms
! Total magnetic moment: 0.33 μB per formula unit
! Density of states at the Fermi level: 2.9 states/eV per cell
! Space-group type: P2/m
&SYSTEM
  ibrav = 0, nat = 4, ntyp = 3
/
ATOMIC_SPECIES
Te 127.60 Te.upf
Co 58.93 Co.upf
Cl 35.45 Cl.upf
ATOMIC_POSITIONS crystal
Te 0.000 0.914 0.914
Te 0.000 0.586 0.586
Co 0.500 0.750 0.750
Cl 0.500 0.250 0.250
CELL_PARAMETERS angstrom
-0.136 3.230 -2.190
-5.114 -1.232 -1.499
-4.621 1.594 2.639


5.
! CoTeCl2 PBE-GGA optimized geometry; values from VASP
! E: -3.015 eV/atom
! Energy relative to the elements, uncorrected: 45 kJ per mole of atoms
! Total magnetic moment: 1.06 μB per formula unit
! Density of states at the Fermi level: 4.3 states/eV per cell
! Space-group type: F-43m
&SYSTEM
  ibrav = 0, nat = 4, ntyp = 3
/
ATOMIC_SPECIES
Te 127.60 Te.upf
Co 58.93 Co.upf
Cl 35.45 Cl.upf
ATOMIC_POSITIONS crystal
Te 0.750 0.250 0.500
Co 0.500 0.500 0.000
Cl 0.000 0.000 0.000
Cl 0.250 0.750 0.500
CELL_PARAMETERS angstrom
4.815 -0.070 0.000
0.069 4.815 0.000
-2.442 -2.373 3.406


6.
! Co4TeCl PBE-GGA optimized geometry; values from VASP
! E: -4.959 eV/atom
! Energy relative to the elements, uncorrected: 59 kJ per mole of atoms
! Total magnetic moment: 8.25 μB per formula unit
! Density of states at the Fermi level: 10.3 states/eV per cell
! Space-group type: F-43m
&SYSTEM
  ibrav = 0, nat = 6, ntyp = 3
/
ATOMIC_SPECIES
Co 58.93 Co.upf
Te 127.60 Te.upf
Cl 35.45 Cl.upf
ATOMIC_POSITIONS crystal
Co 0.625 0.625 0.126
Co 0.625 0.126 0.625
Co 0.625 0.625 0.625
Co 0.126 0.625 0.625
Te 0.250 0.250 0.250
Cl 0.000 0.000 0.000
CELL_PARAMETERS angstrom
0.744 -0.270 4.987
-2.489 -3.432 2.741
2.476 -3.933 1.974


7.
! CoTe2Cl PBE-GGA optimized geometry; values from VASP
! Distance to the lowest polymorph of the same formula: 0.180 eV per atom
! E: -3.896 eV/atom
! Energy relative to the elements, uncorrected: -8 kJ per mole of atoms
! Total magnetic moment: 0.10 μB per formula unit
! Density of states at the Fermi level: 5.6 states/eV per cell
! Space-group type: R3m
&SYSTEM
  ibrav = 0, nat = 4, ntyp = 3
/
ATOMIC_SPECIES
Te 127.60 Te.upf
Co 58.93 Co.upf
Cl 35.45 Cl.upf
ATOMIC_POSITIONS crystal
Te 0.030 0.030 0.030
Te 0.260 0.260 0.260
Co 0.748 0.748 0.748
Cl 0.463 0.463 0.463
CELL_PARAMETERS angstrom
9.418 0.013 0.008
8.758 3.464 0.008
8.758 1.675 3.031


8.
! CoTeCl2 PBE-GGA optimized geometry; values from VASP
! E: -3.393 eV/atom
! Energy relative to the elements, uncorrected: 9 kJ per mole of atoms
! Total magnetic moment: 1.29 μB per formula unit
! Density of states at the Fermi level: 4.8 states/eV per cell
! Space-group type: P4mm
&SYSTEM
  ibrav = 0, nat = 4, ntyp = 3
/
ATOMIC_SPECIES
Te 127.60 Te.upf
Co 58.93 Co.upf
Cl 35.45 Cl.upf
ATOMIC_POSITIONS crystal
Te 0.500 0.500 0.700
Co 0.000 0.000 0.517
Cl 0.000 0.000 0.935
Cl 0.500 0.500 0.348
CELL_PARAMETERS angstrom
3.236 0.000 0.000
0.000 3.236 0.000
0.000 0.000 8.503


9.
! CoTe2Cl PBE-GGA optimized geometry; values from VASP
! Distance to the lowest polymorph of the same formula: 0.375 eV per atom
! E: -3.701 eV/atom
! Energy relative to the elements, uncorrected: 10 kJ per mole of atoms
! Total magnetic moment: 1.19 μB per formula unit
! Density of states at the Fermi level: 5.2 states/eV per cell
! Space-group type: Cmm2
&SYSTEM
  ibrav = 0, nat = 4, ntyp = 3
/
ATOMIC_SPECIES
Te 127.60 Te.upf
Co 58.93 Co.upf
Cl 35.45 Cl.upf
ATOMIC_POSITIONS crystal
Te 0.000 0.000 0.912
Te 0.500 0.500 0.234
Co 0.500 0.500 0.747
Cl 0.000 0.000 0.607
CELL_PARAMETERS angstrom
-0.453 -1.631 -2.760
2.804 1.618 0.013
4.825 -8.395 4.169


10.
! CoTe2Cl PBE-GGA optimized geometry; values from VASP
! Distance to the lowest polymorph of the same formula: 0.318 eV per atom
! E: -3.757 eV/atom
! Energy relative to the elements, uncorrected: 5 kJ per mole of atoms
! Total magnetic moment: 0.62 μB per formula unit
! Density of states at the Fermi level: 4.2 states/eV per cell
! Space-group type: P4mm
&SYSTEM
  ibrav = 0, nat = 4, ntyp = 3
/
ATOMIC_SPECIES
Te 127.60 Te.upf
Co 58.93 Co.upf
Cl 35.45 Cl.upf
ATOMIC_POSITIONS crystal
Te 0.000 0.000 0.830
Te 0.500 0.500 0.193
Co 0.500 0.500 0.918
Cl 0.000 0.000 0.558
CELL_PARAMETERS angstrom
3.409 0.000 0.000
0.000 3.408 0.000
0.000 0.000 8.983


11.
! CoTeCl2 PBE-GGA optimized geometry; values from VASP
! E: -3.238 eV/atom
! Energy relative to the elements, uncorrected: 24 kJ per mole of atoms
! Total magnetic moment: 0.00 μB per formula unit
! Density of states at the Fermi level: 26.2 states/eV per cell
! Space-group type: I-42d
&SYSTEM
  ibrav = 0, nat = 8, ntyp = 3
/
ATOMIC_SPECIES
Te 127.60 Te.upf
Co 58.93 Co.upf
Cl 35.45 Cl.upf
ATOMIC_POSITIONS crystal
Te 0.000 0.000 0.000
Te 0.750 0.250 0.500
Co 0.500 0.500 0.000
Co 0.250 0.750 0.500
Cl 0.481 0.125 0.250
Cl 0.269 0.625 0.250
Cl 0.375 0.519 0.750
Cl 0.875 0.731 0.750
CELL_PARAMETERS angstrom
6.581 0.000 0.000
0.000 6.581 0.000
3.290 3.290 4.772


12.
! CoTeCl2 PBE-GGA optimized geometry; values from VASP
! E: -2.767 eV/atom
! Energy relative to the elements, uncorrected: 69 kJ per mole of atoms
! Total magnetic moment: 1.75 μB per formula unit
! Density of states at the Fermi level: 10.2 states/eV per cell
! Space-group type: Fm-3m
&SYSTEM
  ibrav = 0, nat = 4, ntyp = 3
/
ATOMIC_SPECIES
Te 127.60 Te.upf
Co 58.93 Co.upf
Cl 35.45 Cl.upf
ATOMIC_POSITIONS crystal
Te 0.500 0.500 0.500
Co 0.000 0.000 0.000
Cl 0.250 0.250 0.250
Cl 0.750 0.750 0.750
CELL_PARAMETERS angstrom
0.000 3.484 3.484
3.484 0.000 3.484
3.484 3.484 0.000


13.
! CoTeCl2 PBE-GGA optimized geometry; values from VASP
! E: -3.231 eV/atom
! Energy relative to the elements, uncorrected: 25 kJ per mole of atoms
! Total magnetic moment: 2.33 μB per formula unit
! Density of states at the Fermi level: 1.8 states/eV per cell
! Space-group type: Fmmm
&SYSTEM
  ibrav = 0, nat = 4, ntyp = 3
/
ATOMIC_SPECIES
Te 127.60 Te.upf
Co 58.93 Co.upf
Cl 35.45 Cl.upf
ATOMIC_POSITIONS crystal
Te 0.000 0.500 0.500
Co 0.500 0.000 0.500
Cl 0.000 0.000 0.000
Cl 0.500 0.500 0.000
CELL_PARAMETERS angstrom
-5.243 0.205 0.502
2.146 -1.948 4.402
-1.302 2.258 3.714


14.
! CoTeCl2 PBE-GGA optimized geometry; values from VASP
! E: -3.701 eV/atom
! Energy relative to the elements, uncorrected: -21 kJ per mole of atoms
! Total magnetic moment: 1.09 μB per formula unit
! Density of states at the Fermi level: 2.8 states/eV per cell
! Space-group type: Imm2
&SYSTEM
  ibrav = 0, nat = 4, ntyp = 3
/
ATOMIC_SPECIES
Te 127.60 Te.upf
Co 58.93 Co.upf
Cl 35.45 Cl.upf
ATOMIC_POSITIONS crystal
Te 0.398 0.898 0.500
Co 0.530 0.530 0.000
Cl 0.927 0.927 0.000
Cl 0.645 0.145 0.500
CELL_PARAMETERS angstrom
7.257 0.246 0.023
4.232 5.901 -0.023
-5.145 -4.194 2.944